Density functional theory data (PBE+U) for an optimized crystal structure of MoPdF3.

For the density, the calculation gives 5.41 g cm⁻³. The excess energy over the best structure of this formula in the dataset comes out at 296 kJ/mol of formula units. The calculated volume is 15.91 Å³/atom.

The space group is Pm-3m (No. 221) and the conventional cell measures 4.3005, 4.3005 and 4.3005 Å, with angles of 90.00, 90.00 and 90.00 degrees. The asymmetric unit holds Mo at (0.0000, 0.0000, 0.0000), Pd at (0.5000, 0.5000, 0.5000) and F at (0.0000, 0.5000, 0.5000).